# 1
Entry from Alexandria: crystalline MnTlRu at its relaxed geometry (PBE-GGA).

As for the total energy: -39.13 eV for the cell shown. The calculation puts the formation energy from the elements at 0.416 eV/atom.

It has space group I4mm (No. 107), with a = 2.995 Å, b = 2.995 Å, c = 11.187 Å, α = 90.00°, β = 90.00° and γ = 90.00°. The inequivalent atoms are Mn at (0.000, 0.000, 0.000), Tl at (0.000, 0.000, 0.312) and Ru at (0.000, 0.000, 0.624).

=====

# 2
Entry from Alexandria: crystalline CaV2Pt at its relaxed geometry (PBE-GGA).

The offset from the most stable computed form is 37 meV/atom. As for the total energy: -99.06 eV for the cell shown. The calculation puts the formation energy from the elements at 0.379 eV/atom.

It has space group I-42d (No. 122), with a = 4.221 Å, b = 4.221 Å, c = 19.292 Å, α = 90.00°, β = 90.00° and γ = 90.00°. The inequivalent atoms are Ca at (0.000, 0.000, 0.000), V at (0.022, 0.750, 0.625) and Pt at (0.000, 0.000, 0.500).

=====

# 3
Entry from Alexandria: crystalline DyTmCdPt at its relaxed geometry (PBE-GGA).

As for the total energy: -75.99 eV for the cell shown. The calculation puts the formation energy from the elements at -0.742 eV/atom.

It has space group F-43m (No. 216), with a = 7.158 Å, b = 7.158 Å, c = 7.158 Å, α = 90.00°, β = 90.00° and γ = 90.00°. The inequivalent atoms are Dy at (0.000, 0.000, 0.000), Tm at (0.000, 0.000, 0.500), Cd at (0.250, 0.250, 0.750) and Pt at (0.250, 0.250, 0.250).

=====

# 4
Entry from Alexandria: crystalline LaBiAu3 at its relaxed geometry (PBE-GGA).

The offset from the most stable computed form is 950 meV/atom. As for the total energy: -16.55 eV for the cell shown. The calculation puts the formation energy from the elements at 0.418 eV/atom.

It has space group Pm-3m (No. 221), with a = 5.537 Å, b = 5.537 Å, c = 5.537 Å, α = 90.00°, β = 90.00° and γ = 90.00°. The inequivalent atoms are La at (0.000, 0.000, 0.000), Bi at (0.500, 0.500, 0.500) and Au at (0.000, 0.000, 0.500).

=====

# 5
Entry from Alexandria: crystalline Pm2PuRhO8 at its relaxed geometry (PBE-GGA).

As for the total energy: -197.61 eV for the cell shown. Its formation energy from raw total energies is -2.33 eV per atom.

It has space group C2/m (No. 12), with a = 7.052 Å, b = 7.315 Å, c = 6.833 Å, α = 90.00°, β = 90.28° and γ = 90.00°. The inequivalent atoms are Pm at (0.024, 0.000, 0.260), Pu at (0.000, 0.500, 0.000), Rh at (0.000, 0.500, 0.500), O at (0.013, 0.327, 0.748), O at (0.212, 0.000, 0.985) and O at (0.222, 0.000, 0.522).

=====

# 6
Entry from Alexandria: crystalline Ti3MnCu at its relaxed geometry (PBE-GGA).

The offset from the most stable computed form is 0 meV/atom. As for the total energy: -34.46 eV for the cell shown. The calculation puts the formation energy from the elements at 0.497 eV/atom.

It has space group Pm-3m (No. 221), with a = 4.462 Å, b = 4.462 Å, c = 4.462 Å, α = 90.00°, β = 90.00° and γ = 90.00°. The inequivalent atoms are Ti at (0.000, 0.000, 0.500), Mn at (0.000, 0.000, 0.000) and Cu at (0.500, 0.500, 0.500).

=====

# 7
Entry from Alexandria: crystalline SrGa2As2 at its relaxed geometry (PBE-GGA).

As for the total energy: -37.95 eV for the cell shown. The calculation puts the formation energy from the elements at -0.389 eV/atom.

It has space group I4/mmm (No. 139), with a = 4.345 Å, b = 4.345 Å, c = 13.014 Å, α = 90.00°, β = 90.00° and γ = 90.00°. The inequivalent atoms are Sr at (0.000, 0.000, 0.000), Ga at (0.000, 0.500, 0.250) and As at (0.000, 0.000, 0.397).

=====

# 8
Entry from Alexandria: crystalline Pr4Nd2Sn3Cl2 at its relaxed geometry (PBE-GGA).

As for the total energy: -106.25 eV for the cell shown. Its formation energy from raw total energies is -0.80 eV per atom.

It has space group I4/mmm (No. 139), with a = 5.365 Å, b = 5.365 Å, c = 24.460 Å, α = 90.00°, β = 90.00° and γ = 90.00°. The inequivalent atoms are Pr at (0.000, 0.500, 0.088), Nd at (0.000, 0.000, 0.198), Sn at (0.000, 0.000, 0.328), Sn at (0.000, 0.000, 0.500) and Cl at (0.000, 0.000, 0.069).

=====

# 9
Entry from Alexandria: crystalline Na3HfCd at its relaxed geometry (PBE-GGA).

The offset from the most stable computed form is 284 meV/atom. As for the total energy: -8.35 eV for the cell shown. The calculation puts the formation energy from the elements at 1.294 eV/atom.

It has space group Pm-3m (No. 221), with a = 6.195 Å, b = 6.195 Å, c = 6.195 Å, α = 90.00°, β = 90.00° and γ = 90.00°. The inequivalent atoms are Na at (0.000, 0.000, 0.500), Hf at (0.000, 0.000, 0.000) and Cd at (0.500, 0.500, 0.500).

=====

# 10
Entry from Alexandria: crystalline Pm3Cu2Pd3 at its relaxed geometry (PBE-GGA).

The offset from the most stable computed form is 117 meV/atom. As for the total energy: -167.61 eV for the cell shown. The calculation puts the formation energy from the elements at -0.485 eV/atom.

It has space group Cmcm (No. 63), with a = 4.295 Å, b = 10.358 Å, c = 15.093 Å, α = 90.00°, β = 90.00° and γ = 90.00°. The inequivalent atoms are Pm at (0.000, 0.047, 0.250), Pm at (0.000, 0.144, 0.549), Cu at (0.000, 0.330, 0.170), Pd at (0.000, 0.257, 0.750) and Pd at (0.000, 0.437, 0.591).

=====

# 11
Entry from Alexandria: crystalline SmEr2FeN4 at its relaxed geometry (PBE-GGA).

As for the total energy: -259.78 eV for the cell shown. Its formation energy from raw total energies is -1.17 eV per atom.

It has space group Cmcm (No. 63), with a = 3.366 Å, b = 11.307 Å, c = 11.423 Å, α = 90.00°, β = 90.00° and γ = 90.00°. The inequivalent atoms are Sm at (0.000, 0.116, 0.250), Er at (0.000, 0.368, 0.045), Fe at (0.000, 0.153, 0.750), N at (0.000, 0.000, 0.000), N at (0.000, 0.267, 0.630) and N at (0.000, 0.420, 0.250).

=====

# 12
Entry from Alexandria: crystalline Dy2PdSe at its relaxed geometry (PBE-GGA).

The offset from the most stable computed form is 0 meV/atom. As for the total energy: -92.72 eV for the cell shown. Its formation energy from raw total energies is -1.32 eV per atom.

It has space group Cmcm (No. 63), with a = 3.867 Å, b = 22.683 Å, c = 4.280 Å, α = 90.00°, β = 90.00° and γ = 90.00°. The inequivalent atoms are Dy at (0.000, 0.064, 0.250), Dy at (0.000, 0.320, 0.250), Pd at (0.000, 0.456, 0.250) and Se at (0.000, 0.193, 0.250).

=====

| no. | D(E_F) (states/eV per cell) |
| --- | --- |
| 1 | 5.98 |
| 2 | 21.19 |
| 3 | 11.53 |
| 4 | 4.33 |
| 5 | 21.80 |
| 6 | 7.79 |
| 7 | 2.16 |
| 8 | 23.39 |
| 9 | 12.38 |
| 10 | 15.71 |
| 11 | 13.15 |
| 12 | 9.40 |